No. 1
This record from the Alexandria database describes crystalline KSc3H at its relaxed geometry. The functional is PBE-GGA.

Cell lengths 5.107, 5.107, 5.107 Å; angles 90.00, 90.00, 90.00 degrees
Element x y z (fractional)
1 Sc 0.000 0.500 0.000
2 Sc 0.000 0.000 0.500
3 Sc 0.500 0.000 0.000
4 H 0.500 0.500 0.500
5 K 0.000 0.000 0.000

Calculated values
calculated total energy	-13.35	eV/f.u.
distance to the lowest polymorph of the same formula	1.593	eV per atom

***

No. 2
This record from the Alexandria database describes crystalline Ca2AlRuI at its relaxed geometry. The functional is PBE-GGA.

Cell lengths 5.676, 5.676, 5.414 Å; angles 90.00, 90.00, 90.00 degrees
Last column: magnetic moment on the atom in μB.
Element x y z (fractional)
1 I 0.000 0.000 0.000  -0.02
2 Ru 0.500 0.500 0.500  2.09
3 Ca 0.000 0.500 0.000  -0.06
4 Ca 0.500 0.000 0.000  -0.06
5 Al 0.000 0.000 0.500  -0.01

Calculated values
formation energy without anion corrections	981.7	meV per atom
calculated total energy	-13.66	eV/f.u.